This record from Alexandria describes crystalline CsBaNa2 at its relaxed geometry. The functional is PBE.

a b c (Å): 4.5747 4.5747 40.2282
angles (deg): 90.00 90.00 120.00
Closest atoms and distances in Å follow each position.
Space group R-3m (No. 166, hexagonal axes)
Inequivalent atoms, fractional coordinates:
1 Cs 0.0000 0.0000 0.0000  6 Na 4.45, 6 Cs 4.57
2 Ba 0.0000 0.0000 0.5000  6 Na 4.09, 6 Ba 4.57
3 Na 0.0000 0.0000 0.2443  3 Ba 4.09, 3 Cs 4.45, 6 Na 4.57

Output
* DOS(E_F): 0.892 states/eV/atom
* magnetic moment: 0.000 μB per formula unit
* energy relative to the lowest polymorph listed for this composition: 0.073 eV per atom
* crystal system: trigonal
* volume: 243 Å³/f.u.